1.
This record from Alexandria via LeMat-Bulk describes crystalline In2PbSe at its relaxed geometry. The functional is GGA-PBE.

Cell lengths 5.6936, 3.8279, 5.8510 Å; angles 90.00, 116.46, 90.00 degrees
Last column: nearest neighbours and their distance in Å.
Space group P2/m (No. 10)
One atom of each set of equivalent atoms:
In  0.2249  0.0000  0.2751 x2  2 Se 2.92, 2 In 3.06-3.09
Pb  0.5000  0.5000  0.0000 x1  2 Se 3.04, 4 In 3.31
Se  0.0000  0.5000  0.5000 x1  4 In 2.92, 2 Pb 3.04

Output
**E above lowest polymorph**: 0.015 eV per atom

=====

2.
This record from Alexandria via LeMat-Bulk describes crystalline InPb2Se at its relaxed geometry. The functional is GGA-PBE.

Cell lengths 3.8808, 5.2666, 11.1079 Å; angles 90.00, 90.00, 90.00 degrees
Last column: nearest neighbours and their distance in Å.
Space group Imm2 (No. 44)
One atom of each set of equivalent atoms:
In  0.0000  0.0000  0.0000 x2  2 Se 3.06, 4 Pb 3.34
Pb  0.0000  0.0000  0.4382 x2  2 Se 3.17, 4 In 3.34
Pb  0.0000  0.5000  0.2207 x2  4 Se 3.27, 2 Pb 3.57, 4 In 3.60-3.66
Se  0.0000  0.5000  0.7130 x2  2 In 3.06, 6 Pb 3.17-3.27

Output
**E above lowest polymorph**: 0.027 eV per atom

=====

3.
This record from Alexandria via LeMat-Bulk describes crystalline InPb3Se4 at its relaxed geometry. The functional is GGA-PBE.

Cell lengths 4.3372, 4.3372, 12.3592 Å; angles 90.00, 90.00, 90.00 degrees
Last column: nearest neighbours and their distance in Å.
Space group P4/mmm (No. 123)
One atom of each set of equivalent atoms:
In  0.0000  0.0000  0.0000 x1  6 Se 3.03-3.07
Pb  0.0000  0.0000  0.5000 x1  6 Se 3.07-3.15
Pb  0.5000  0.5000  0.2494 x2  6 Se 3.07-3.10
Se  0.0000  0.0000  0.2451 x2  1 In 3.03, 5 Pb 3.07-3.15
Se  0.5000  0.5000  0.0000 x1  4 In 3.07, 2 Pb 3.08
Se  0.5000  0.5000  0.5000 x1  6 Pb 3.07-3.10

Output
**E above lowest polymorph**: 0.000 eV per atom

=====

4.
This record from Alexandria via LeMat-Bulk describes crystalline InPbSe2 at its relaxed geometry. The functional is GGA-PBE.

Cell lengths 3.9367, 3.8341, 7.5435 Å; angles 90.00, 103.06, 90.00 degrees
Last column: nearest neighbours and their distance in Å.
Space group P2/m (No. 10)
One atom of each set of equivalent atoms:
In  0.0000  0.0000  0.0000 x1  4 Se 2.82
Pb  0.5000  0.0000  0.5000 x1  8 Se 3.21-3.31
Se  0.0820  0.5000  0.7394 x2  2 In 2.82

=====

5.
This record from Alexandria via LeMat-Bulk describes crystalline InPbSe at its relaxed geometry. The functional is GGA-PBE.

Cell lengths 3.9687, 3.9687, 6.3886 Å; angles 90.00, 90.00, 120.00 degrees
Last column: nearest neighbours and their distance in Å.
Space group P3m1 (No. 156)
One atom of each set of equivalent atoms:
In  0.0000  0.0000  0.0000 x1  3 Se 2.88
Pb  0.6667  0.3333  0.4004 x1  3 Se 3.10, 3 In 3.43
Se  0.3333  0.6667  0.7261 x1  3 In 2.88, 3 Pb 3.10

Output
**E above lowest polymorph**: 0.000 eV per atom

=====

6.
This record from Alexandria via LeMat-Bulk describes crystalline InPb2Se at its relaxed geometry. The functional is GGA-PBE.

Cell lengths 7.6395, 7.6395, 7.6395 Å; angles 90.00, 90.00, 90.00 degrees
Last column: nearest neighbours and their distance in Å.
Space group Fm-3m (No. 225)
One atom of each set of equivalent atoms:
In  0.0000  0.0000  0.0000 x4  8 Pb 3.31
Pb  0.2500  0.2500  0.2500 x8  4 In 3.31, 4 Se 3.31
Se  0.0000  0.0000  0.5000 x4  8 Pb 3.31

Output
**E above lowest polymorph**: 0.150 eV per atom

=====

7.
This record from Alexandria via LeMat-Bulk describes crystalline InPbSe2 at its relaxed geometry. The functional is GGA-PBE.

Cell lengths 7.2956, 4.2384, 8.2726 Å; angles 90.00, 93.17, 90.00 degrees
Last column: nearest neighbours and their distance in Å.
Space group P2/m (No. 10)
One atom of each set of equivalent atoms:
In  0.0053  0.0000  0.1691 x2  3 Se 2.67-2.68, 1 In 2.79
Pb  0.5000  0.5000  0.0000 x1  6 Se 3.15-3.22
Pb  0.5000  0.5000  0.5000 x1  6 Se 3.08-3.09
Se  0.1742  0.5000  0.7213 x2  2 In 2.68
Se  0.3652  0.0000  0.2482 x2  1 In 2.67

=====

8.
This record from Alexandria via LeMat-Bulk describes crystalline InPbSe2 at its relaxed geometry. The functional is GGA-PBE.

Cell lengths 3.9225, 3.9225, 27.2964 Å; angles 90.00, 90.00, 120.00 degrees
Last column: nearest neighbours and their distance in Å.
Space group R-3m (No. 166, hexagonal axes)
One atom of each set of equivalent atoms:
In  0.0000  0.0000  0.0000 x3  6 Se 2.76
Pb  0.0000  0.0000  0.5000 x3  2 Se 2.97
Se  0.0000  0.0000  0.3910 x6  3 In 2.76, 1 Pb 2.97

=====

9.
This record from Alexandria via LeMat-Bulk describes crystalline InPbSe2 at its relaxed geometry. The functional is GGA-PBE.

Cell lengths 3.8881, 4.0209, 14.2738 Å; angles 90.00, 90.00, 90.00 degrees
Last column: nearest neighbours and their distance in Å.
Space group Imm2 (No. 44)
One atom of each set of equivalent atoms:
In  0.0000  0.0000  0.0000 x2  6 Se 2.97-3.04
Pb  0.0000  0.5000  0.7444 x2  6 Se 3.09-3.20
Se  0.0000  0.0000  0.5701 x2  4 In 2.97, 2 Pb 3.20
Se  0.0000  0.5000  0.3360 x2  2 In 3.04, 4 Pb 3.09

=====

10.
This record from Alexandria via LeMat-Bulk describes crystalline InPb2Se at its relaxed geometry. The functional is GGA-PBE.

Cell lengths 4.7570, 4.7570, 10.0634 Å; angles 90.00, 90.00, 90.00 degrees
Last column: nearest neighbours and their distance in Å.
Space group I4/mmm (No. 139)
One atom of each set of equivalent atoms:
In  0.0000  0.0000  0.0000 x2  4 Se 3.36, 8 Pb 3.46
Pb  0.0000  0.5000  0.2500 x4  4 Pb 3.36, 4 In 3.46, 4 Se 3.46
Se  0.0000  0.0000  0.5000 x2  4 In 3.36, 8 Pb 3.46

Output
**E above lowest polymorph**: 0.100 eV per atom

=====

11.
This record from Alexandria via LeMat-Bulk describes crystalline InPb2Se at its relaxed geometry. The functional is GGA-PBE.

Cell lengths 4.4158, 4.4158, 6.2513 Å; angles 90.00, 90.00, 90.00 degrees
Last column: nearest neighbours and their distance in Å.
Space group P4mm (No. 99)
One atom of each set of equivalent atoms:
In  0.0000  0.0000  0.0000 x1  6 Pb 3.10-3.15
Pb  0.0000  0.0000  0.5035 x1  2 In 3.10-3.15, 4 Se 3.12
Pb  0.5000  0.5000  0.0278 x1  2 Se 2.97-3.28, 4 In 3.13
Se  0.5000  0.5000  0.5029 x1  6 Pb 2.97-3.28

Output
**E above lowest polymorph**: 0.018 eV per atom

=====

12.
This record from Alexandria via LeMat-Bulk describes crystalline InPb4Se at its relaxed geometry. The functional is GGA-PBE.

Cell lengths 9.1458, 9.1458, 9.1458 Å; angles 90.00, 90.00, 90.00 degrees
Last column: nearest neighbours and their distance in Å.
Space group F-43m (No. 216)
One atom of each set of equivalent atoms:
In  0.0000  0.0000  0.0000 x4  12 Pb 3.79, 4 Se 3.96
Pb  0.1254  0.1254  0.6254 x16  6 Pb 3.22-3.24
Se  0.2500  0.2500  0.2500 x4  12 Pb 3.79, 4 In 3.96

=====

no.,formation energy from raw total energies (eV/atom),E_tot (eV per formula unit)
1,-0.15,-13.29
2,-0.13,-14.14
3,-0.51,-31.91
4,-0.29,-14.59
5,-0.24,-10.64
6,0.00,-13.65
7,-0.49,-15.39
8,-0.32,-14.71
9,-0.37,-14.89
10,-0.05,-13.85
11,-0.13,-14.18
12,0.19,-19.90